Record 1
64
Lattice="8.4756 0.0000 0.0000 0.0000 8.4768 0.0000 0.0000 0.0000 8.4768" Properties=species:S:1:pos:R:3 comment="NaMg30WO32 | Alexandria | GGA-PBEsol | optimized geometry" m_tot_mub_per_fu=3.00 total_energy_ry_per_atom=-0.4628 formation_energy_uncorrected_ev_per_fu=-168.282 pbc="T T T"
O 2.1374 4.2384 4.2384
O 0.0000 4.2384 2.1210
O 4.2378 0.0000 6.3349
O 0.0000 2.1210 4.2384
Mg 4.2378 4.2384 0.0000
Mg 4.2378 2.1083 6.3686
O 2.1137 2.1283 6.3485
Mg 6.3640 2.0996 0.0000
O 0.0000 0.0000 2.2316
O 0.0000 6.3558 4.2384
O 4.2378 6.3349 0.0000
O 4.2378 0.0000 2.1419
Mg 6.3640 0.0000 6.3772
Mg 6.3327 4.2384 6.3915
Mg 2.1116 2.0996 0.0000
O 6.3619 2.1283 6.3485
O 4.2378 6.3450 4.2384
Mg 2.1116 6.3772 0.0000
O 6.3619 2.1283 2.1283
Mg 0.0000 0.0000 4.2384
Mg 4.2378 4.2384 4.2384
Mg 4.2378 6.3686 2.1083
Mg 2.1429 2.0854 4.2384
O 4.2378 2.1419 0.0000
Mg 6.3327 6.3915 4.2384
O 6.2495 0.0000 0.0000
Mg 0.0000 6.4041 2.0727
Mg 0.0000 2.0727 6.4041
Mg 6.3640 0.0000 2.0996
Mg 4.2378 6.3686 6.3686
O 2.1137 6.3485 2.1283
O 0.0000 6.2452 0.0000
Mg 0.0000 4.2384 0.0000
O 4.2378 4.2384 6.3450
O 0.0000 4.2384 6.3558
Mg 2.1429 4.2384 2.0854
Mg 4.2378 0.0000 0.0000
Mg 4.2378 0.0000 4.2384
Mg 2.1429 6.3915 4.2384
Mg 6.3640 6.3772 0.0000
O 2.1137 2.1283 2.1283
O 6.3619 6.3485 2.1283
Mg 4.2378 2.1083 2.1083
O 2.1137 6.3485 6.3485
O 4.2378 4.2384 2.1318
O 6.3382 4.2384 4.2384
Mg 2.1116 0.0000 6.3772
Mg 2.1429 4.2384 6.3915
Mg 2.1116 0.0000 2.0996
Mg 0.0000 6.4041 6.4041
Mg 0.0000 2.0727 2.0727
Mg 6.3327 2.0854 4.2384
Mg 6.3327 4.2384 2.0854
O 6.3401 0.0000 4.2384
O 0.0000 0.0000 6.2452
W 0.0000 4.2384 4.2384
O 4.2378 2.1318 4.2384
O 2.2261 0.0000 0.0000
O 6.3619 6.3485 6.3485
O 2.1355 0.0000 4.2384
Na 0.0000 0.0000 0.0000
O 6.3401 4.2384 0.0000
O 2.1355 4.2384 0.0000
O 0.0000 2.2316 0.0000

Record 2
64
Lattice="-5.4132 -3.1164 -5.7782 3.9810 -7.5177 0.3251 -5.2242 -2.4965 6.2407" Properties=species:S:1:pos:R:3 comment="NaYMg30O32 | Alexandria | GGA-PBEsol | optimized geometry" m_tot_mub_per_fu=0.00 total_energy_ry_per_atom=-0.4617 formation_energy_uncorrected_ev_per_fu=-174.314 pbc="T T T"
O -1.9901 -5.6611 4.9177
O -2.3236 -8.4625 0.4758
O -4.0133 -2.1827 -1.3281
Mg -2.8481 -3.7926 4.7137
Mg -2.7254 -1.4377 0.1271
O -2.3738 -8.6050 -2.5365
Mg 1.9905 -3.7589 0.1626
Mg -3.6369 -9.0521 2.0242
Mg -3.3927 -6.7289 -2.5978
Mg 1.5750 -6.3824 -1.2348
Mg -0.9870 -7.6437 1.9223
O -1.6644 -3.0378 3.1977
O -1.3424 -0.6415 1.6036
Y 0.0000 0.0000 0.0000
O 0.2786 -7.1956 -2.6453
O -1.7108 -3.4386 -2.8078
Na -0.6216 -5.0071 3.2829
O -6.6523 -3.5743 -1.1923
O -1.6614 -3.2730 0.1929
Mg -2.9562 -3.9250 1.7615
Mg -3.7002 -9.2057 -0.9739
O -4.0128 -2.3102 -4.2833
Mg -1.0424 -7.8122 -1.0751
Mg -5.6140 -5.3185 1.8627
O -6.9924 -6.0857 0.4316
Mg -0.3602 -2.7279 -1.3928
O -3.9850 -2.0387 1.6548
Mg -5.3187 -2.8065 0.2312
Mg -0.3209 -2.5849 1.6948
O 0.7469 -4.3532 1.6481
O -4.2826 -4.5257 3.3241
O -1.4004 -0.8062 -1.4948
O -2.0099 -5.9353 -1.1811
O -4.3712 -4.8331 -2.6996
Mg -7.9119 -4.1752 0.3354
Mg -3.0195 -4.0786 -1.2366
Mg -3.3282 -6.5653 0.3938
Mg -5.6694 -5.4870 -1.1347
O -2.0498 -6.0849 -4.1501
O -4.6465 -7.1953 1.9687
Mg -5.2650 -2.6513 3.1608
O 2.9580 -5.5860 0.2416
O -2.2852 -8.2976 3.4872
Mg -3.0072 -4.2518 -4.2182
Mg -5.9769 -7.9638 0.4892
Mg -0.6795 -5.1669 0.2984
Mg -0.9223 -7.4293 4.8710
Mg -1.0720 -7.9062 -4.0602
Mg -2.6121 -1.2483 3.1203
O -4.9949 -9.8576 0.5947
O -6.6240 -3.4303 1.7906
Mg 1.6049 -6.2216 1.8521
O 1.0230 -1.9318 0.0835
O 0.6175 -4.5493 -1.3029
Mg -5.3724 -2.9616 -2.6983
Mg -0.7161 -5.3171 -2.7265
O 0.4212 -6.9765 3.3681
O -4.6110 -7.3038 -0.9755
O -2.0454 -5.8268 1.7631
O 0.3360 -7.0450 0.3560
Mg -2.7066 -1.5582 -2.8891
O -3.8818 -1.8550 4.6371
O -4.3328 -4.6682 0.3118
Mg -3.2636 -6.4018 3.3854

Record 3
32
Lattice="-1.1838 -3.6339 1.9725 8.1891 -2.4323 0.4338 0.7565 3.9140 7.6647" Properties=species:S:1:pos:R:3 comment="NaYMg14O16 | Alexandria | GGA-PBEsol | optimized geometry" m_tot_mub_per_fu=0.02 total_energy_ry_per_atom=-0.4648 formation_energy_uncorrected_ev_per_fu=-86.101 pbc="T T T"
Mg 1.8221 -0.4646 4.9264
Mg 1.5481 -2.4525 1.0996
Mg 5.4572 -3.6136 1.3067
Mg 4.0945 -1.2161 0.2169
Na 0.3782 1.9570 3.8323
O 2.5535 1.3109 3.9476
O 6.3920 0.1708 4.1509
O 0.1883 0.9744 1.9082
O 6.0604 -1.8000 0.3210
O 4.2818 -0.2472 2.1143
O 1.6408 -1.4524 2.9977
Mg 6.6667 1.0808 5.9923
Mg 4.0672 -0.1119 6.9236
O -0.2137 0.1401 4.8186
Mg 2.2788 0.4009 2.1061
O 5.7401 -2.6700 3.2149
O 2.1287 -0.6322 0.1128
Mg 3.6945 -2.0402 3.1474
O 0.5682 2.9395 5.7564
O 6.1210 -0.6997 7.0732
O 3.5026 -3.0331 1.2031
Mg 5.9397 -1.6876 5.1445
O 2.0216 0.5178 6.8561
Mg -0.0377 1.0504 6.6014
O -0.5919 -1.8169 0.9862
Y 0.0000 0.0000 0.0000
Mg 4.4728 0.7408 4.0492
Mg 6.3042 -0.7948 2.3194
O 3.8809 -1.0761 5.0355
Mg -0.3896 -0.7703 3.0358
O 4.6638 1.7289 5.9842
Mg 2.6413 2.2764 5.7791

Record 4
32
Lattice="-4.1102 0.9463 -0.8750 0.5072 -4.5247 -7.2759 -2.5176 -7.0456 4.2060" Properties=species:S:1:pos:R:3 comment="NaYMg14O16 | Alexandria | GGA-PBEsol | optimized geometry" m_tot_mub_per_fu=0.00 total_energy_ry_per_atom=-0.4650 formation_energy_uncorrected_ev_per_fu=-86.198 pbc="T T T"
Mg -2.4458 -3.5923 -2.9991
O -1.6685 -7.6416 -0.4267
Mg -3.9080 -4.7123 2.6580
Mg -1.7315 -6.3905 1.2221
Y 0.0000 0.0000 0.0000
O -1.1388 -4.5930 0.3822
Mg -1.4879 -8.5635 -2.2721
O -0.6460 -1.8080 1.0793
O -1.8715 -5.2376 3.1267
Mg -3.1841 -4.2076 -0.1966
Mg -3.6747 -7.0317 -0.9459
Mg 0.2536 -2.2624 -3.6380
O -3.8219 -5.9468 0.9188
Mg -1.9212 -0.7214 -2.3585
O -0.3418 -3.9287 -2.6432
O 0.3771 -3.3636 -5.4088
Mg -1.6818 -2.8570 -5.7925
Mg -2.9365 -6.4164 -3.7484
Na -1.0052 -5.7852 -1.5350
O -2.5540 -2.3985 -1.1994
Mg -0.5224 -3.0069 -0.7978
O 0.1302 -1.1611 -1.8671
O -3.0603 -5.3120 -1.9725
Mg -2.7198 -1.3870 0.6729
Mg -0.2788 -5.1799 -4.2920
O -1.8015 -1.7892 -4.0755
O -2.0551 0.4732 -0.4375
O -3.3139 -3.0497 1.6655
O -3.5665 -8.2256 -2.7455
O -0.8715 -6.9774 -3.4521
O -2.2986 -4.6772 -4.8638
Mg -1.2588 -3.5228 2.1030

Record 5
5
Lattice="-1.9692 3.0216 2.1099 -2.4151 1.0846 -3.8073 -3.3009 -3.0137 1.2353" Properties=species:S:1:pos:R:3 comment="NaMgTa2Os | Alexandria | GGA-PBEsol | optimized geometry" ef_mev_per_atom=2337 m_tot_mub_per_fu=0.00 total_energy_ry_per_atom=-0.4226 pbc="T T T"
Mg -0.9846 1.5108 1.0549
Os -3.8426 0.5462 -0.2311
Ta -1.2075 0.5423 -1.9036
Ta -1.6504 -1.5069 0.6177
Na 0.0000 0.0000 0.0000

Record 6
3
Lattice="-2.8994 1.3157 -3.0887 -2.2022 -3.0108 -2.4007 -4.3483 -0.5987 0.6414" Properties=species:S:1:pos:R:3 comment="NaMgP | Alexandria | GGA-PBEsol | optimized geometry" ef_mev_per_atom=116 m_tot_mub_per_fu=0.00 total_energy_ry_per_atom=-0.2097 pbc="T T T"
P 0.0000 0.0000 0.0000
Mg -4.7250 -1.1469 -2.4240
Na -2.3625 -0.5734 -1.2120

Record 7
8
Lattice="-0.4785 -2.8376 -4.8099 5.1424 -3.9424 -1.4515 -2.8876 -5.9557 0.5351" Properties=species:S:1:pos:R:3 comment="NaMg2P | Alexandria | GGA-PBEsol | optimized geometry" ef_mev_per_atom=-108 m_tot_mub_per_fu=0.00 total_energy_ry_per_atom=-0.2032 pbc="T T T"
Mg 2.6858 -8.1933 -2.7815
Mg 2.7951 -3.0587 -0.9229
Mg -0.8991 -8.9676 -3.6009
Na 1.0078 -5.6584 -1.6607
Na -0.2392 -1.4188 -2.4049
P 0.0000 0.0000 0.0000
P 0.7686 -7.0772 -4.0656
Mg -1.0291 -5.2518 -4.1473

Record 8
8
Lattice="-4.6326 -1.9718 0.7600 4.0551 -3.0655 -0.2921 1.3039 0.7757 9.9607" Properties=species:S:1:pos:R:3 comment="Na2MgPb | Alexandria | GGA-PBEsol | optimized geometry" ef_mev_per_atom=-157 m_tot_mub_per_fu=0.00 total_energy_ry_per_atom=-0.1680 pbc="T T T"
Pb 1.4852 -2.5070 2.5488
Na 2.3592 -1.9870 9.2259
Na -1.6328 -2.2745 1.2027
Na -1.1886 -2.0103 4.5962
Pb -0.7588 -1.7545 7.8798
Mg 0.3260 0.1939 2.4902
Mg 0.9779 0.5818 7.4705
Na 1.9150 -2.2512 5.8323

Record 9
5
Lattice="-2.9119 0.0848 3.2390 -2.9235 -1.9464 -2.5773 5.3175 -5.7624 2.0017" Properties=species:S:1:pos:R:3 comment="Na2MgPb2 | Alexandria | GGA-PBEsol | optimized geometry" ef_mev_per_atom=55 m_tot_mub_per_fu=0.00 total_energy_ry_per_atom=-0.1799 pbc="T T T"
Pb -2.4562 -2.2180 0.7795
Mg 0.0000 0.0000 0.0000
Na -0.2560 -3.3042 2.7858
Pb 1.9383 -5.4060 1.8840
Na -0.2618 -4.3198 -0.1223

Record 10
5
Lattice="5.0316 0.0000 0.0000 0.0000 5.0316 0.0000 0.0000 0.0000 5.1189" Properties=species:S:1:pos:R:3 comment="NaMg2RhPb | Alexandria | GGA-PBEsol | optimized geometry" ef_mev_per_atom=-117 m_tot_mub_per_fu=0.00 total_energy_ry_per_atom=-0.2580 pbc="T T T"
Mg 0.0000 2.5158 0.0000
Rh 0.0000 0.0000 0.0000
Mg 2.5158 0.0000 0.0000
Pb 0.0000 0.0000 2.5595
Na 2.5158 2.5158 2.5595

Record 11
5
Lattice="4.9656 0.0000 0.0000 0.0000 4.9656 0.0000 0.0000 0.0000 4.9656" Properties=species:S:1:pos:R:3 comment="NaMg3Pd | Alexandria | GGA-PBEsol | optimized geometry" ef_mev_per_atom=915 m_tot_mub_per_fu=0.00 total_energy_ry_per_atom=-0.1166 pbc="T T T"
Mg 0.0000 2.4828 0.0000
Na 0.0000 0.0000 0.0000
Mg 2.4828 0.0000 0.0000
Pd 2.4828 2.4828 2.4828
Mg 0.0000 0.0000 2.4828

Record 12
10
Lattice="-2.4579 0.0886 -1.4731 2.4577 -5.9659 -4.4593 -3.2034 -5.0860 5.0388" Properties=species:S:1:pos:R:3 comment="NaMg2Pt2 | Alexandria | GGA-PBEsol | optimized geometry" ef_mev_per_atom=-569 m_tot_mub_per_fu=0.00 total_energy_ry_per_atom=-0.3176 pbc="T T T"
Pt 0.0453 -8.3829 -0.5797
Pt -1.8677 -6.4862 2.7261
Mg -0.2606 -6.7997 -2.7638
Pt 1.1221 -4.5657 -2.1467
Mg -2.3507 -8.1572 0.6418
Na 0.0000 0.0000 0.0000
Mg -0.8529 -2.8061 -1.5354
Pt -0.7910 -2.6690 1.1592
Na -0.3728 -5.5259 0.2897
Mg -2.9429 -4.1636 1.8701